1.
The following is a DFT calculation (PBE) of crystalline TlRu3 at its relaxed geometry.

Geometry as POSCAR:
```
TlRu3
1.0
4.428 2.557 0.950
-4.428 2.557 0.950
0.000 -5.113 0.950
Tl Ru
1 3
Cartesian
0.000 0.000 0.000
-2.214 -1.278 0.950
-2.214 1.278 1.901
0.000 2.557 0.950
```

Summary:
Its energy relative to the elements is 821 meV per atom. For the energy relative to the lowest polymorph listed for this composition, the calculation gives 0.373 eV per atom. The value obtained for the total DFT energy (no corrections) is -0.494 Ry per atom. The calculated volume is 16.1 A^3/atom. The symmetry is R-3m. The mass density is 13.05 g/cm3.



2.
The following is a DFT calculation (PBE) of crystalline InTeSeN2 at its relaxed geometry.

Geometry as POSCAR:
```
InTeSeN2
1.0
4.271 0.000 0.000
0.000 4.271 0.000
0.000 0.000 6.877
In Te Se N
1 1 1 2
Cartesian
0.000 0.000 0.000
0.000 0.000 3.438
2.136 2.136 3.438
0.000 2.136 0.000
2.136 0.000 0.000
```

Summary:
For the uncorrected formation energy, the calculation gives 1419 meV/atom. For the energy relative to the lowest polymorph listed for this composition, the calculation gives 0.323 eV per atom. The value obtained for the total DFT energy (no corrections) is -0.278 Ry per atom. The calculated volume is 25.1 A^3/atom. The symmetry is P4/mmm. The mass density is 4.62 g/cm3.



3.
The following is a DFT calculation (PBE) of crystalline YIn3Te4 at its relaxed geometry.

Geometry as POSCAR:
```
YIn3Te4
1.0
2.203 1.272 15.664
-2.203 1.272 15.664
0.000 -2.544 15.664
Y In Te
1 3 4
Cartesian
0.000 0.000 0.000
0.000 0.000 11.621
0.000 0.000 23.496
0.000 0.000 35.371
0.000 0.000 6.097
0.000 0.000 17.446
0.000 0.000 29.546
0.000 0.000 40.895
```

Summary:
For the uncorrected formation energy, the calculation gives -612 meV/atom. The value obtained for the total DFT energy (no corrections) is -0.295 Ry per atom. The calculated volume is 32.9 A^3/atom. The symmetry is R-3m. The mass density is 5.95 g/cm3.



4.
The following is a DFT calculation (PBE) of crystalline Ac2ZnAs4Rh3 at its relaxed geometry.

Geometry as POSCAR:
```
Ac2ZnAs4Rh3
1.0
4.447 0.000 0.000
0.000 4.447 0.000
0.000 0.000 10.168
Ac Zn As Rh
2 1 4 3
Cartesian
0.000 2.224 2.477
2.224 0.000 7.692
0.000 0.000 5.084
0.000 0.000 0.000
0.000 2.224 6.473
2.224 0.000 3.696
2.224 2.224 0.000
0.000 2.224 8.995
2.224 0.000 1.173
2.224 2.224 5.084
```

Summary:
Its energy relative to the elements is -856 meV per atom. The value obtained for the total DFT energy (no corrections) is -0.431 Ry per atom. The calculated volume is 20.1 A^3/atom. The symmetry is P-4m2. The mass density is 9.31 g/cm3.



5.
The following is a DFT calculation (PBE) of crystalline SnOs3Cl at its relaxed geometry.

Geometry as POSCAR:
```
SnOs3Cl
1.0
5.000 0.000 0.000
0.000 5.000 0.000
0.000 0.000 5.000
Sn Os Cl
1 3 1
Cartesian
0.000 0.000 0.000
0.000 0.000 2.500
0.000 2.500 0.000
2.500 0.000 0.000
2.500 2.500 2.500
```

Summary:
For the uncorrected formation energy, the calculation gives 2862 meV/atom. For the energy relative to the lowest polymorph listed for this composition, the calculation gives 0.974 eV per atom. The value obtained for the total DFT energy (no corrections) is -0.371 Ry per atom. The calculated volume is 25.0 A^3/atom. The symmetry is Pm-3m. The mass density is 9.63 g/cm3.



6.
The following is a DFT calculation (PBE) of crystalline TcSnIrOsS at its relaxed geometry.

Geometry as POSCAR:
```
TcSnIrOsS
1.0
2.879 0.000 0.000
0.001 3.870 0.000
0.077 1.928 8.228
Tc Sn Ir Os S
1 1 1 1 1
Cartesian
0.000 0.000 0.000
2.877 3.879 3.012
1.440 1.948 1.477
1.517 3.928 7.078
0.076 1.438 5.879
```

Summary:
For the uncorrected formation energy, the calculation gives 105 meV/atom. For the energy relative to the lowest polymorph listed for this composition, the calculation gives 0.039 eV per atom. The value obtained for the total DFT energy (no corrections) is -0.559 Ry per atom. The calculated volume is 18.3 A^3/atom. The symmetry is P1. The mass density is 11.43 g/cm3.